The following is a PBE+U calculation of MgMnSn2O after structural relaxation, from the Alexandria database.

Properties
Uncorrected energy, eV per atom: -4.5854
Spin magnetization, μB/atom: 0.724
Symmetry: P4/mmm (123)

abc: 5.652 3.602 5.652
angles: 90.00 90.00 90.00
Site moments in Bohr magnetons follow the coordinates.
Atoms (fractional coordinates):
1 Mg 0.500 0.500 0.500  0.00
2 Sn 0.500 0.000 0.000  -0.12
3 Sn 0.000 0.000 0.500  -0.07
4 Mn 0.000 0.000 0.000  3.81
5 O 0.000 0.500 0.000  -0.01